The following is a DFT calculation (PBE) of a relaxed Mn3HgPt crystal.

a b c (Å): 4.9386 4.9386 4.9386
angles (deg): 90.00 90.00 90.00
Element x y z (fractional)
Mn: 0.0000 0.0000 0.5000
Mn: 0.0000 0.5000 0.0000
Mn: 0.5000 0.0000 0.0000
Hg: 0.5000 0.5000 0.5000
Pt: 0.0000 0.0000 0.0000

DOS at the Fermi energy   2.556 states/eV/f.u.
ΔE to the lowest computed polymorph   0 meV/atom
Symmetry   Pm-3m
DFT formation energy   0.64 eV per atom

The following is a DFT calculation (PBE) of a relaxed HfTi3Ni crystal.

a b c (Å): 4.5585 4.5585 4.5585
angles (deg): 90.00 90.00 90.00
Element x y z (fractional)
Hf: 0.0000 0.0000 0.0000
Ti: 0.0000 0.5000 0.5000
Ti: 0.5000 0.0000 0.5000
Ti: 0.5000 0.5000 0.0000
Ni: 0.5000 0.5000 0.5000

DOS at the Fermi energy   7.175 states/eV/f.u.
ΔE to the lowest computed polymorph   173 meV/atom
Symmetry   Pm-3m
DFT formation energy   0.31 eV per atom

The following is a DFT calculation (PBE) of a relaxed Zn3CdAu5 crystal.

a b c (Å): 7.9356 7.9356 5.6998
angles (deg): 90.00 90.00 120.00
Element x y z (fractional)
Zn: 0.0000 0.3503 0.2500
Zn: 0.0000 0.6497 0.7500
Zn: 0.3503 0.0000 0.2500
Zn: 0.3503 0.3503 0.7500
Zn: 0.6497 0.0000 0.7500
Zn: 0.6497 0.6497 0.2500
Cd: 0.0000 0.0000 0.0000
Cd: 0.0000 0.0000 0.5000
Au: 0.0000 0.3210 0.7500
Au: 0.0000 0.6790 0.2500
Au: 0.3210 0.0000 0.7500
Au: 0.3210 0.3210 0.2500
Au: 0.3333 0.6667 0.0000
Au: 0.3333 0.6667 0.5000
Au: 0.6667 0.3333 0.0000
Au: 0.6667 0.3333 0.5000
Au: 0.6790 0.0000 0.2500
Au: 0.6790 0.6790 0.7500

DOS at the Fermi energy   1.359 states/eV/f.u.
Symmetry   P6_3/mcm
DFT formation energy   -0.17 eV per atom

The following is a DFT calculation (PBE) of a relaxed Sm6Hg6Pb crystal.

a b c (Å): 6.3461 6.3461 10.6714
angles (deg): 90.00 90.00 120.00
Element x y z (fractional)
Sm: 0.0000 0.0000 0.1825
Sm: 0.0000 0.0000 0.8175
Sm: 0.3333 0.6667 0.0000
Sm: 0.3333 0.6667 0.5000
Sm: 0.6667 0.3333 0.0000
Sm: 0.6667 0.3333 0.5000
Hg: 0.0000 0.5000 0.2505
Hg: 0.0000 0.5000 0.7495
Hg: 0.5000 0.0000 0.2505
Hg: 0.5000 0.0000 0.7495
Hg: 0.5000 0.5000 0.2505
Hg: 0.5000 0.5000 0.7495
Pb: 0.0000 0.0000 0.5000

DOS at the Fermi energy   14.682 states/eV/f.u.
Symmetry   P6/mmm
DFT formation energy   -0.31 eV per atom

The following is a DFT calculation (PBE) of a relaxed SrMnPb2 crystal.

a b c (Å): 4.6438 4.6438 7.0478
angles (deg): 109.31 109.31 59.89
Element x y z (fractional)
Sr: 0.0000 0.0000 0.0000
Mn: 0.8193 0.8193 0.4599
Pb: 0.2143 0.2143 0.6454
Pb: 0.4372 0.4372 0.3126

DOS at the Fermi energy   2.364 states/eV/f.u.
Symmetry   Cm
DFT formation energy   0.00 eV per atom

The following is a DFT calculation (PBE) of a relaxed Pm4Eu2Co crystal.

a b c (Å): 9.8235 9.8235 9.8235
angles (deg): 148.43 148.43 45.24
Element x y z (fractional)
Pm: 0.0000 0.5000 0.5000
Pm: 0.1487 0.1487 0.0000
Pm: 0.5000 0.0000 0.5000
Pm: 0.8513 0.8513 0.0000
Eu: 0.3462 0.3462 0.0000
Eu: 0.6538 0.6538 0.0000
Co: 0.0000 0.0000 0.0000

DOS at the Fermi energy   9.481 states/eV/f.u.
Symmetry   I4/mmm
DFT formation energy   0.18 eV per atom

The following is a DFT calculation (PBE) of a relaxed Zr3PaPb crystal.

a b c (Å): 7.4734 4.2450 7.5832
angles (deg): 90.00 92.74 90.00
Element x y z (fractional)
Zr: 0.0454 0.2500 0.3628
Zr: 0.3545 0.7500 0.4385
Zr: 0.4350 0.2500 0.1407
Zr: 0.5650 0.7500 0.8593
Zr: 0.6455 0.2500 0.5615
Zr: 0.9546 0.7500 0.6372
Pa: 0.1105 0.7500 0.0590
Pa: 0.8895 0.2500 0.9410
Pb: 0.2693 0.2500 0.7389
Pb: 0.7307 0.7500 0.2611

DOS at the Fermi energy   7.222 states/eV/f.u.
Symmetry   P2_1/m
DFT formation energy   -0.05 eV per atom

The following is a DFT calculation (PBE) of a relaxed Cr2InN crystal.

a b c (Å): 5.3834 5.3834 5.3834
angles (deg): 110.55 110.55 107.33
Element x y z (fractional)
Cr: 0.3750 0.0043 0.1293
Cr: 0.7543 0.6250 0.6293
Cr: 0.8750 0.2457 0.8707
Cr: 0.9957 0.1250 0.3707
In: 0.2500 0.7500 0.5000
In: 0.5000 0.5000 0.0000
N: 0.0000 0.0000 0.0000
N: 0.7500 0.2500 0.5000

DOS at the Fermi energy   3.322 states/eV/f.u.
Uncorrected formation energy   0.42 eV/f.u.
Symmetry   I-42d

The following is a DFT calculation (PBE) of a relaxed SrCa2NdTl4 crystal.

a b c (Å): 9.6629 9.6629 9.6629
angles (deg): 33.59 33.59 33.59
Element x y z (fractional)
Sr: 0.0000 0.0000 0.0000
Ca: 0.2504 0.2504 0.2504
Ca: 0.7496 0.7496 0.7496
Nd: 0.5000 0.5000 0.5000
Tl: 0.1263 0.1263 0.1263
Tl: 0.3776 0.3776 0.3776
Tl: 0.6224 0.6224 0.6224
Tl: 0.8737 0.8737 0.8737

DOS at the Fermi energy   5.176 states/eV/f.u.
Symmetry   R-3m
DFT formation energy   -0.42 eV per atom

The following is a DFT calculation (PBE) of a relaxed Tm5CSe4 crystal.

a b c (Å): 6.8369 6.8369 6.8369
angles (deg): 99.49 99.49 132.07
Element x y z (fractional)
Tm: 0.0000 0.0000 0.0000
Tm: 0.2421 0.5912 0.8333
Tm: 0.4088 0.2421 0.6509
Tm: 0.5912 0.7579 0.3491
Tm: 0.7579 0.4088 0.1667
C: 0.5000 0.5000 0.0000
Se: 0.0912 0.3068 0.3979
Se: 0.3068 0.9088 0.2156
Se: 0.6932 0.0912 0.7844
Se: 0.9088 0.6932 0.6021

DOS at the Fermi energy   4.723 states/eV/f.u.
Uncorrected formation energy   -14.88 eV/f.u.
ΔE to the lowest computed polymorph   0 meV/atom
Symmetry   I4/m

The following is a DFT calculation (PBE) of a relaxed FeSiRu crystal.

a b c (Å): 3.9802 3.9802 2.7504
angles (deg): 90.00 90.00 120.00
Element x y z (fractional)
Fe: 0.0000 0.0000 0.0000
Si: 0.3333 0.6667 0.0000
Ru: 0.6667 0.3333 0.5000

DOS at the Fermi energy   2.303 states/eV/f.u.
Uncorrected formation energy   -0.65 eV/f.u.
Symmetry   P-6m2

The following is a DFT calculation (PBE) of a relaxed LaSm5Tm3 crystal.

a b c (Å): 10.2156 10.2156 10.2156
angles (deg): 130.77 130.77 72.18
Element x y z (fractional)
La: 0.2500 0.7500 0.5000
La: 0.7500 0.2500 0.5000
Sm: 0.0000 0.0000 0.0000
Sm: 0.0577 0.5577 0.8910
Sm: 0.1667 0.0577 0.5000
Sm: 0.3333 0.8333 0.8910
Sm: 0.4423 0.3333 0.5000
Sm: 0.5000 0.5000 0.0000
Sm: 0.5577 0.6667 0.5000
Sm: 0.6667 0.1667 0.1090
Sm: 0.8333 0.9423 0.5000
Sm: 0.9423 0.4423 0.1090
Tm: 0.1243 0.3757 0.5000
Tm: 0.2500 0.2500 0.0000
Tm: 0.3757 0.8757 0.2514
Tm: 0.6243 0.1243 0.7486
Tm: 0.7500 0.7500 0.0000
Tm: 0.8757 0.6243 0.5000

DOS at the Fermi energy   14.292 states/eV/f.u.
ΔE to the lowest computed polymorph   0 meV/atom
Symmetry   I4/mcm
DFT formation energy   0.28 eV per atom

The following is a DFT calculation (PBE) of a relaxed TbPm4Pr3Se8 crystal.

a b c (Å): 8.4201 8.4201 8.4201
angles (deg): 60.09 60.09 60.09
Element x y z (fractional)
Tb: 0.0000 0.0000 0.0000
Pm: 0.0000 0.0000 0.5000
Pm: 0.0000 0.5000 0.0000
Pm: 0.5000 0.0000 0.0000
Pm: 0.5000 0.5000 0.5000
Pr: 0.0000 0.5000 0.5000
Pr: 0.5000 0.0000 0.5000
Pr: 0.5000 0.5000 0.0000
Se: 0.2424 0.7536 0.7536
Se: 0.2464 0.2464 0.7576
Se: 0.2464 0.7576 0.2464
Se: 0.2479 0.2479 0.2479
Se: 0.7521 0.7521 0.7521
Se: 0.7536 0.2424 0.7536
Se: 0.7536 0.7536 0.2424
Se: 0.7576 0.2464 0.2464

DOS at the Fermi energy   10.763 states/eV/f.u.
Uncorrected formation energy   -29.16 eV/f.u.
Symmetry   R-3m

The following is a DFT calculation (PBE) of a relaxed RbHf2FeMo crystal.

a b c (Å): 4.9245 4.9245 4.5757
angles (deg): 90.00 90.00 90.00
Element x y z (fractional)
Rb: 0.0000 0.0000 0.0000
Hf: 0.0000 0.5000 0.0000
Hf: 0.5000 0.0000 0.0000
Fe: 0.5000 0.5000 0.5000
Mo: 0.0000 0.0000 0.5000

DOS at the Fermi energy   8.866 states/eV/f.u.
Symmetry   P4/mmm
DFT formation energy   3.04 eV per atom

The following is a DFT calculation (PBE) of a relaxed YLuSe3 crystal.

a b c (Å): 9.3128 9.3128 7.3430
angles (deg): 96.42 96.42 84.11
Element x y z (fractional)
Y: 0.0929 0.9071 0.7500
Y: 0.2630 0.7370 0.2500
Y: 0.7370 0.2630 0.7500
Y: 0.9071 0.0929 0.2500
Lu: 0.2130 0.4021 0.7103
Lu: 0.4021 0.2130 0.2103
Lu: 0.5979 0.7870 0.7897
Lu: 0.7870 0.5979 0.2897
Se: 0.0233 0.1965 0.6174
Se: 0.1140 0.6420 0.9042
Se: 0.1965 0.0233 0.1174
Se: 0.2838 0.4560 0.3847
Se: 0.3580 0.8860 0.5958
Se: 0.4560 0.2838 0.8847
Se: 0.5440 0.7162 0.1153
Se: 0.6420 0.1140 0.4042
Se: 0.7162 0.5440 0.6153
Se: 0.8035 0.9767 0.8826
Se: 0.8860 0.3580 0.0958
Se: 0.9767 0.8035 0.3826

DOS at the Fermi energy   0.000 states/eV/f.u.
Uncorrected formation energy   -8.48 eV/f.u.
ΔE to the lowest computed polymorph   184 meV/atom
Symmetry   C2/c

The following is a DFT calculation (PBE) of a relaxed K2TcMo crystal.

a b c (Å): 2.7218 2.7218 12.1803
angles (deg): 90.00 90.00 107.92
Element x y z (fractional)
K: 0.0000 0.0000 0.2402
K: 0.0000 0.0000 0.7598
Tc: 0.5000 0.5000 0.0000
Mo: 0.5000 0.5000 0.5000

DOS at the Fermi energy   3.373 states/eV/f.u.
ΔE to the lowest computed polymorph   638 meV/atom
Symmetry   Cmmm
DFT formation energy   1.42 eV per atom